Entry 1:
Material: La4SnSb2
Method: DFT, SCAN
State: PBEsol geometry

abc: 8.3073 8.3073 8.3073
angles: 109.56 109.56 109.30
Last column: nearest neighbours and their distance in Å.
Sites, in units of the cell vectors:
La: 0.1241 0.5172 0.7484  4 Sb 3.19-3.45, 2 Sn 3.20-3.45
La: 0.1257 0.0188 0.7516  4 Sb 3.19-3.45, 2 Sn 3.20-3.45
La: 0.2672 0.3741 0.2484  4 Sb 3.19-3.45, 2 Sn 3.20-3.45
La: 0.4828 0.2312 0.6069  4 Sb 3.19-3.45, 2 Sn 3.20-3.45
La: 0.6243 0.8759 0.3931  4 Sb 3.19-3.45, 2 Sn 3.20-3.45
La: 0.6259 0.8743 0.8931  4 Sb 3.19-3.45, 2 Sn 3.20-3.45
La: 0.7688 0.3757 0.2516  4 Sb 3.19-3.45, 2 Sn 3.20-3.45
La: 0.9812 0.7328 0.1069  4 Sb 3.19-3.45, 2 Sn 3.20-3.45
Sn: 0.2500 0.7500 0.5000  8 La 3.20-3.45
Sn: 0.5000 0.5000 0.0000  8 La 3.20-3.45
Sb: 0.9999 0.1250 0.3749  8 La 3.19-3.45
Sb: 0.3750 0.0001 0.1251  8 La 3.19-3.45
Sb: 0.7501 0.6250 0.6251  8 La 3.19-3.45
Sb: 0.8750 0.2499 0.8749  8 La 3.19-3.45

Properties
crystal system: tetragonal
uncorrected formation energy: -1.1508 eV per atom



Entry 2:
Material: BeO
Method: DFT, SCAN
State: PBEsol geometry

abc: 3.8030 3.8030 3.8030
angles: 90.00 90.00 90.00
Last column: nearest neighbours and their distance in Å.
Sites, in units of the cell vectors:
Be: 0.0000 0.0000 0.0000  4 O 1.65
Be: 0.0000 0.5000 0.5000  4 O 1.65
Be: 0.5000 0.0000 0.5000  4 O 1.65
Be: 0.5000 0.5000 0.0000  4 O 1.65
O: 0.2500 0.2500 0.7500  4 Be 1.65
O: 0.2500 0.7500 0.2500  4 Be 1.65
O: 0.7500 0.2500 0.2500  4 Be 1.65
O: 0.7500 0.7500 0.7500  4 Be 1.65

Properties
crystal system: cubic
offset from the most stable computed form: 5.9 meV/atom
uncorrected formation energy: -3.0204 eV per atom



Entry 3:
Material: InW2Br
Method: DFT, SCAN
State: PBEsol geometry

abc: 4.8915 2.9513 5.0818
angles: 90.00 106.19 90.00
Last column: nearest neighbours and their distance in Å.
Sites, in units of the cell vectors:
In: 0.0000 0.0000 0.0000  6 W 2.86-3.00, 4 Br 2.94, 2 In 2.95
W: 0.5000 0.0000 0.5000  4 Br 2.86, 6 W 2.94-2.95, 2 In 3.00
W: 0.5000 0.5000 0.0000  4 In 2.86, 6 W 2.94-2.95, 2 Br 3.00
Br: 0.0000 0.5000 0.5000  6 W 2.86-3.00, 4 In 2.94, 2 Br 2.95

Properties
crystal system: monoclinic
offset from the most stable computed form: 662.1 meV/atom
uncorrected formation energy: 1.1800 eV per atom



Entry 4:
Material: CdCoRh2
Method: DFT, SCAN
State: PBEsol geometry

abc: 5.3476 8.9455 2.6744
angles: 90.00 117.22 90.00
Last column: nearest neighbours and their distance in Å.
Sites, in units of the cell vectors:
Cd: 0.0000 0.0000 0.0000  4 Rh 2.63, 4 Co 2.67-2.79, 2 Cd 2.67
Cd: 0.5000 0.5000 0.0000  4 Rh 2.63, 4 Co 2.67-2.79, 2 Cd 2.67
Co: 0.0000 0.5000 0.0000  4 Rh 2.63, 4 Cd 2.67-2.79, 2 Co 2.67
Co: 0.5000 0.0000 0.0000  4 Rh 2.63, 4 Cd 2.67-2.79, 2 Co 2.67
Rh: 0.2500 0.2500 0.5000  2 Cd 2.63, 2 Co 2.63, 6 Rh 2.67-2.79
Rh: 0.2500 0.7500 0.5000  2 Cd 2.63, 2 Co 2.63, 6 Rh 2.67-2.79
Rh: 0.7500 0.2500 0.5000  2 Cd 2.63, 2 Co 2.63, 6 Rh 2.67-2.79
Rh: 0.7500 0.7500 0.5000  2 Cd 2.63, 2 Co 2.63, 6 Rh 2.67-2.79

Properties
crystal system: monoclinic
offset from the most stable computed form: 43.8 meV/atom
E_form: 155 meV per atom



Entry 5:
Material: AsPbW
Method: DFT, SCAN
State: PBEsol geometry

abc: 3.4531 4.8639 15.3082
angles: 90.00 90.00 90.00
Last column: nearest neighbours and their distance in Å.
Sites, in units of the cell vectors:
As: 0.0000 0.0000 0.0000  2 W 2.52
As: 0.0000 0.5000 0.5000  2 W 2.52
As: 0.5000 0.0000 0.5000  2 W 2.52
As: 0.5000 0.5000 0.0000  2 W 2.52
Pb: 0.0000 0.0000 0.2809  4 Pb 2.98, 2 W 3.01
Pb: 0.0000 0.5000 0.7809  4 Pb 2.98, 2 W 3.01
Pb: 0.5000 0.0000 0.7809  4 Pb 2.98, 2 W 3.01
Pb: 0.5000 0.5000 0.2809  4 Pb 2.98, 2 W 3.01
W: 0.0000 0.0000 0.6196  2 As 2.52
W: 0.0000 0.5000 0.1196  2 As 2.52
W: 0.5000 0.0000 0.1196  2 As 2.52
W: 0.5000 0.5000 0.6196  2 As 2.52

Properties
crystal system: orthorhombic
E_form: 560 meV per atom



Entry 6:
Material: FeCu3
Method: DFT, SCAN
State: PBEsol geometry

abc: 2.4845 2.4845 7.2820
angles: 90.00 90.00 90.00
Last column: nearest neighbours and their distance in Å.
Sites, in units of the cell vectors:
Fe: 0.0000 0.0000 0.0000  4 Fe 2.48, 8 Cu 2.54
Cu: 0.0000 0.0000 0.5000  12 Cu 2.48-2.52
Cu: 0.5000 0.5000 0.2511  8 Cu 2.48-2.52, 4 Fe 2.54
Cu: 0.5000 0.5000 0.7489  8 Cu 2.48-2.52, 4 Fe 2.54

Properties
crystal system: tetragonal
E_form: 47 meV per atom



Entry 7:
Material: Ba2ZnAg2
Method: DFT, SCAN
State: PBEsol geometry

abc: 8.0407 8.0407 4.6221
angles: 90.00 90.00 90.00
Last column: nearest neighbours and their distance in Å.
Sites, in units of the cell vectors:
Ba: 0.1810 0.3190 0.0000  6 Ag 3.22-3.39
Ba: 0.3190 0.8190 0.0000  6 Ag 3.22-3.39
Ba: 0.6810 0.1810 0.0000  6 Ag 3.22-3.39
Ba: 0.8190 0.6810 0.0000  6 Ag 3.22-3.39
Zn: 0.0000 0.0000 0.5000  4 Ag 3.19
Zn: 0.5000 0.5000 0.5000  4 Ag 3.19
Ag: 0.1221 0.6221 0.5000  1 Ag 2.78
Ag: 0.3779 0.1221 0.5000  1 Ag 2.78
Ag: 0.6221 0.8779 0.5000  1 Ag 2.78
Ag: 0.8779 0.3779 0.5000  1 Ag 2.78

Properties
crystal system: tetragonal
E_form: -137 meV per atom



Entry 8:
Material: Li3CaSn
Method: DFT, SCAN
State: PBEsol geometry

abc: 5.0536 5.0536 5.0536
angles: 90.00 90.00 90.00
Last column: nearest neighbours and their distance in Å.
Sites, in units of the cell vectors:
Li: 0.0000 0.0000 0.5000  2 Sn 2.53
Li: 0.0000 0.5000 0.0000  2 Sn 2.53
Li: 0.5000 0.0000 0.0000  2 Sn 2.53
Ca: 0.5000 0.5000 0.5000  12 Li 3.57
Sn: 0.0000 0.0000 0.0000  6 Li 2.53

Properties
crystal system: cubic
E_form: -156 meV per atom



Entry 9:
Material: CoOsSe2
Method: DFT, SCAN
State: PBEsol geometry

abc: 3.4264 3.7737 11.6904
angles: 90.00 90.00 90.00
Last column: nearest neighbours and their distance in Å.
Sites, in units of the cell vectors:
Co: 0.0000 0.0000 0.0000  4 Se 2.36, 4 Os 2.55
Co: 0.5000 0.5000 0.5000  4 Se 2.36, 4 Os 2.55
Os: 0.0000 0.0000 0.5000  4 Se 2.49, 4 Co 2.55
Os: 0.5000 0.5000 0.0000  4 Se 2.49, 4 Co 2.55
Se: 0.0000 0.5000 0.3608  2 Co 2.36, 2 Os 2.49
Se: 0.0000 0.5000 0.6392  2 Co 2.36, 2 Os 2.49
Se: 0.5000 0.0000 0.1392  2 Co 2.36, 2 Os 2.49
Se: 0.5000 0.0000 0.8608  2 Co 2.36, 2 Os 2.49

Properties
crystal system: orthorhombic
uncorrected formation energy: 0.1057 eV per atom



Entry 10:
Material: MgNb2TlSn
Method: DFT, SCAN
State: PBEsol geometry

abc: 5.2176 5.2176 5.4421
angles: 90.00 90.00 90.00
Last column: nearest neighbours and their distance in Å.
Sites, in units of the cell vectors:
Mg: 0.0000 0.0000 0.0000  4 Sn 3.69, 8 Nb 3.77
Nb: 0.0000 0.5000 0.5000  2 Tl 2.61
Nb: 0.5000 0.0000 0.5000  2 Tl 2.61
Tl: 0.5000 0.5000 0.5000  4 Nb 2.61, 2 Sn 2.72
Sn: 0.5000 0.5000 0.0000  2 Tl 2.72

Properties
crystal system: tetragonal
E_form: 1580 meV per atom



Entry 11:
Material: CsSe2N
Method: DFT, SCAN
State: PBEsol geometry

abc: 5.9760 5.9760 18.0454
angles: 90.00 90.00 120.00
Last column: nearest neighbours and their distance in Å.
Sites, in units of the cell vectors:
Cs: 0.0000 0.0000 0.0000  6 Se 3.67
Cs: 0.3333 0.6667 0.6667  6 Se 3.67
Cs: 0.6667 0.3333 0.3333  6 Se 3.67
Se: 0.0000 0.0000 0.4034  1 N 1.74
Se: 0.0000 0.0000 0.5966  1 N 1.74
Se: 0.3333 0.6667 0.0701  1 N 1.74
Se: 0.3333 0.6667 0.2632  1 N 1.74
Se: 0.6667 0.3333 0.7368  1 N 1.74
Se: 0.6667 0.3333 0.9299  1 N 1.74
N: 0.0000 0.0000 0.5000  2 Se 1.74
N: 0.3333 0.6667 0.1667  2 Se 1.74
N: 0.6667 0.3333 0.8333  2 Se 1.74

Properties
crystal system: trigonal
uncorrected formation energy: 0.1515 eV per atom



Entry 12:
Material: ZrTaCo6
Method: DFT, SCAN
State: PBEsol geometry

abc: 6.2713 6.2713 10.2450
angles: 90.00 90.00 109.45
Last column: nearest neighbours and their distance in Å.
Sites, in units of the cell vectors:
Zr: 0.0000 0.0000 0.2503  12 Co 2.56-2.60
Zr: 0.0000 0.0000 0.7497  12 Co 2.56-2.60
Zr: 0.2485 0.7515 0.0000  12 Co 2.54-2.61
Zr: 0.7515 0.2485 0.0000  12 Co 2.54-2.61
Ta: 0.2483 0.7517 0.5000  12 Co 2.52-2.58
Ta: 0.5000 0.5000 0.2502  12 Co 2.52-2.56
Ta: 0.5000 0.5000 0.7498  12 Co 2.52-2.56
Ta: 0.7517 0.2483 0.5000  12 Co 2.52-2.58
Co: 0.0000 0.0000 0.0000  4 Zr 2.54-2.56, 8 Co 2.59
Co: 0.0000 0.0000 0.5000  2 Ta 2.54, 2 Zr 2.56, 8 Co 2.57
Co: 0.1279 0.3802 0.3778  8 Co 2.50-2.58, 3 Ta 2.53-2.56, 1 Zr 2.60
Co: 0.1279 0.3802 0.6222  8 Co 2.50-2.58, 3 Ta 2.53-2.56, 1 Zr 2.60
Co: 0.1304 0.3784 0.1279  1 Ta 2.52, 8 Co 2.54-2.62, 3 Zr 2.57-2.60
Co: 0.1304 0.3784 0.8721  1 Ta 2.52, 8 Co 2.54-2.62, 3 Zr 2.57-2.60
Co: 0.2529 0.7471 0.2545  8 Co 2.51-2.61, 2 Ta 2.52-2.53, 2 Zr 2.59-2.61
Co: 0.2529 0.7471 0.7455  8 Co 2.51-2.61, 2 Ta 2.52-2.53, 2 Zr 2.59-2.61
Co: 0.3784 0.1304 0.1279  1 Ta 2.52, 8 Co 2.54-2.62, 3 Zr 2.57-2.60
Co: 0.3784 0.1304 0.8721  1 Ta 2.52, 8 Co 2.54-2.62, 3 Zr 2.57-2.60
Co: 0.3802 0.1279 0.3778  8 Co 2.50-2.58, 3 Ta 2.53-2.56, 1 Zr 2.60
Co: 0.3802 0.1279 0.6222  8 Co 2.50-2.58, 3 Ta 2.53-2.56, 1 Zr 2.60
Co: 0.5000 0.5000 0.0000  8 Co 2.55, 2 Ta 2.56, 2 Zr 2.58
Co: 0.5000 0.5000 0.5000  8 Co 2.53, 4 Ta 2.56-2.58
Co: 0.6198 0.8721 0.3778  8 Co 2.50-2.58, 3 Ta 2.53-2.56, 1 Zr 2.60
Co: 0.6198 0.8721 0.6222  8 Co 2.50-2.58, 3 Ta 2.53-2.56, 1 Zr 2.60
Co: 0.6216 0.8696 0.1279  1 Ta 2.52, 8 Co 2.54-2.62, 3 Zr 2.57-2.60
Co: 0.6216 0.8696 0.8721  1 Ta 2.52, 8 Co 2.54-2.62, 3 Zr 2.57-2.60
Co: 0.7471 0.2529 0.2545  8 Co 2.51-2.61, 2 Ta 2.52-2.53, 2 Zr 2.59-2.61
Co: 0.7471 0.2529 0.7455  8 Co 2.51-2.61, 2 Ta 2.52-2.53, 2 Zr 2.59-2.61
Co: 0.8696 0.6216 0.1279  1 Ta 2.52, 8 Co 2.54-2.62, 3 Zr 2.57-2.60
Co: 0.8696 0.6216 0.8721  1 Ta 2.52, 8 Co 2.54-2.62, 3 Zr 2.57-2.60
Co: 0.8721 0.6198 0.3778  8 Co 2.50-2.58, 3 Ta 2.53-2.56, 1 Zr 2.60
Co: 0.8721 0.6198 0.6222  8 Co 2.50-2.58, 3 Ta 2.53-2.56, 1 Zr 2.60

Properties
crystal system: orthorhombic
E_form: -30 meV per atom



Entry 13:
Material: ScTa2AgPb
Method: DFT, SCAN
State: PBEsol geometry

abc: 4.7887 4.7887 4.9977
angles: 90.00 90.00 90.00
Last column: nearest neighbours and their distance in Å.
Sites, in units of the cell vectors:
Sc: 0.0000 0.0000 0.0000  4 Ta 2.39, 2 Ag 2.50
Ta: 0.0000 0.5000 0.0000  2 Sc 2.39
Ta: 0.5000 0.0000 0.0000  2 Sc 2.39
Ag: 0.0000 0.0000 0.5000  2 Sc 2.50
Pb: 0.5000 0.5000 0.5000  4 Ag 3.39, 8 Ta 3.46

Properties
crystal system: tetragonal
E_form: 1692 meV per atom



Entry 14:
Material: SrTaBe2
Method: DFT, SCAN
State: PBEsol geometry

abc: 6.5055 6.5055 6.5055
angles: 90.00 90.00 90.00
Last column: nearest neighbours and their distance in Å.
Sites, in units of the cell vectors:
Sr: 0.0000 0.0000 0.0000  8 Be 2.82
Sr: 0.0000 0.5000 0.5000  8 Be 2.82
Sr: 0.5000 0.0000 0.5000  8 Be 2.82
Sr: 0.5000 0.5000 0.0000  8 Be 2.82
Ta: 0.0000 0.0000 0.5000  8 Be 2.82
Ta: 0.0000 0.5000 0.0000  8 Be 2.82
Ta: 0.5000 0.0000 0.0000  8 Be 2.82
Ta: 0.5000 0.5000 0.5000  8 Be 2.82
Be: 0.2500 0.2500 0.2500  4 Ta 2.82, 4 Sr 2.82
Be: 0.2500 0.2500 0.7500  4 Sr 2.82, 4 Ta 2.82
Be: 0.2500 0.7500 0.2500  4 Sr 2.82, 4 Ta 2.82
Be: 0.2500 0.7500 0.7500  4 Ta 2.82, 4 Sr 2.82
Be: 0.7500 0.2500 0.2500  4 Sr 2.82, 4 Ta 2.82
Be: 0.7500 0.2500 0.7500  4 Ta 2.82, 4 Sr 2.82
Be: 0.7500 0.7500 0.2500  4 Ta 2.82, 4 Sr 2.82
Be: 0.7500 0.7500 0.7500  4 Sr 2.82, 4 Ta 2.82

Properties
crystal system: cubic
offset from the most stable computed form: 0.0 meV/atom
E_form: 984 meV per atom



Entry 15:
Material: AlPtRh2
Method: DFT, SCAN
State: PBEsol geometry

abc: 8.9319 2.7611 4.6068
angles: 90.00 102.96 90.00
Last column: nearest neighbours and their distance in Å.
Sites, in units of the cell vectors:
Al: 0.0000 0.0000 0.0000  7 Rh 2.60-2.84, 3 Pt 2.61-2.75, 2 Al 2.76
Al: 0.5000 0.5000 0.0000  7 Rh 2.60-2.84, 3 Pt 2.61-2.75, 2 Al 2.76
Pt: 0.2559 0.0000 0.7604  3 Al 2.61-2.75, 7 Rh 2.67-2.75, 2 Pt 2.76
Pt: 0.7559 0.5000 0.7604  3 Al 2.61-2.75, 7 Rh 2.67-2.75, 2 Pt 2.76
Rh: 0.2393 0.5000 0.2586  3 Al 2.60-2.84, 5 Rh 2.64-2.76, 4 Pt 2.67-2.71
Rh: 0.4951 0.0000 0.4917  5 Rh 2.64-2.76, 4 Al 2.66-2.71, 3 Pt 2.70-2.75
Rh: 0.7393 0.0000 0.2586  3 Al 2.60-2.84, 5 Rh 2.64-2.76, 4 Pt 2.67-2.71
Rh: 0.9951 0.5000 0.4917  5 Rh 2.64-2.76, 4 Al 2.66-2.71, 3 Pt 2.70-2.75

Properties
crystal system: monoclinic
E_form: -622 meV per atom



Entry 16:
Material: Mg3FeBi
Method: DFT, SCAN
State: PBEsol geometry

abc: 4.9083 4.9083 4.9083
angles: 90.00 90.00 90.00
Last column: nearest neighbours and their distance in Å.
Sites, in units of the cell vectors:
Mg: 0.0000 0.0000 0.5000  2 Fe 2.45
Mg: 0.0000 0.5000 0.0000  2 Fe 2.45
Mg: 0.5000 0.0000 0.0000  2 Fe 2.45
Fe: 0.0000 0.0000 0.0000  6 Mg 2.45
Bi: 0.5000 0.5000 0.5000  12 Mg 3.47

Properties
crystal system: cubic
E_form: 398 meV per atom



Entry 17:
Material: YNi4Rh
Method: DFT, SCAN
State: PBEsol geometry

abc: 4.8016 4.8016 4.8016
angles: 60.00 60.00 60.00
Last column: nearest neighbours and their distance in Å.
Sites, in units of the cell vectors:
Y: 0.0000 0.0000 0.0000  12 Ni 2.82, 4 Rh 2.94
Ni: 0.1285 0.6238 0.6238  6 Ni 2.38-2.42
Ni: 0.6238 0.1285 0.6238  6 Ni 2.38-2.42
Ni: 0.6238 0.6238 0.1285  6 Ni 2.38-2.42
Ni: 0.6238 0.6238 0.6238  6 Ni 2.38-2.42
Rh: 0.2500 0.2500 0.2500  12 Ni 2.81, 4 Y 2.94

Properties
crystal system: cubic
E_form: -246 meV per atom



Entry 18:
Material: PdAuO2F
Method: DFT, SCAN
State: PBEsol geometry

abc: 4.0077 4.0077 4.1666
angles: 90.00 90.00 90.00
Last column: nearest neighbours and their distance in Å.
Sites, in units of the cell vectors:
Pd: 0.0000 0.0000 0.0000  4 F 2.83, 8 O 2.89
Au: 0.5000 0.5000 0.5000  4 O 2.00, 2 F 2.08
O: 0.0000 0.5000 0.5000  2 Au 2.00
O: 0.5000 0.0000 0.5000  2 Au 2.00
F: 0.5000 0.5000 0.0000  2 Au 2.08

Properties
crystal system: tetragonal
uncorrected formation energy: 0.2628 eV per atom



Entry 19:
Material: TeMoPt2
Method: DFT, SCAN
State: PBEsol geometry

abc: 3.8915 3.8915 4.3536
angles: 90.00 90.00 90.00
Last column: nearest neighbours and their distance in Å.
Sites, in units of the cell vectors:
Te: 0.0000 0.0000 0.0000  4 Mo 2.75, 8 Pt 2.92
Mo: 0.5000 0.5000 0.0000  4 Te 2.75, 8 Pt 2.92
Pt: 0.0000 0.5000 0.5000  4 Pt 2.75, 4 Mo 2.92, 4 Te 2.92
Pt: 0.5000 0.0000 0.5000  4 Pt 2.75, 4 Mo 2.92, 4 Te 2.92

Properties
crystal system: tetragonal
uncorrected formation energy: 0.1829 eV per atom



Entry 20:
Material: ScAlRe2
Method: DFT, SCAN
State: PBEsol geometry

abc: 3.1929 4.4428 8.6385
angles: 90.00 90.00 90.00
Last column: nearest neighbours and their distance in Å.
Sites, in units of the cell vectors:
Sc: 0.0000 0.0000 0.0000  4 Sc 2.74, 4 Re 2.78
Sc: 0.5000 0.5000 0.0000  4 Sc 2.74, 4 Re 2.78
Al: 0.0000 0.0000 0.5000  4 Re 2.59, 4 Al 2.74
Al: 0.5000 0.5000 0.5000  4 Re 2.59, 4 Al 2.74
Re: 0.0000 0.5000 0.2641  2 Al 2.59, 4 Re 2.74, 2 Sc 2.78
Re: 0.0000 0.5000 0.7359  2 Al 2.59, 4 Re 2.74, 2 Sc 2.78
Re: 0.5000 0.0000 0.2641  2 Al 2.59, 4 Re 2.74, 2 Sc 2.78
Re: 0.5000 0.0000 0.7359  2 Al 2.59, 4 Re 2.74, 2 Sc 2.78

Properties
crystal system: orthorhombic
E_form: -129 meV per atom



| no. | E (eV/atom) |
| --- | --- |
| 1 | -41.5597 |
| 2 | -8.3128 |
| 3 | -46.8755 |
| 4 | -28.6609 |
| 5 | -54.6595 |
| 6 | -15.8847 |
| 7 | -31.2073 |
| 8 | -10.7067 |
| 9 | -32.2296 |
| 10 | -34.3227 |
| 11 | -21.6632 |
| 12 | -25.1681 |
| 13 | -49.2185 |
| 14 | -23.4071 |
| 15 | -36.9938 |
| 16 | -21.9284 |
| 17 | -21.2970 |
| 18 | -23.3240 |
| 19 | -52.9477 |
| 20 | -41.1750 |